PBE LiCaTc, relaxed; E_form = 0.591 eV/atom; mass density = 4.1 g/cm³; SG = Fmm2; final energy = -12.51 eV/cell; magnetic moment = 0.00 μB per formula unit
1.0
0.000 2.172 7.416
1.822 0.000 7.416
1.822 2.172 0.000
Li Ca Tc
1 1 1
Direct
0.000 0.000 0.000
0.704 0.704 0.296
0.361 0.361 0.639